# Ga3Hg12Ge5 | the Alexandria database | PBE-GGA | relaxed
# E_form = 243 meV per atom
# E_tot = -1.547 eV per atom
data_Ga3Hg12Ge5
_cell_length_a 16.202
_cell_length_b 16.202
_cell_length_c 16.202
_cell_angle_alpha 90.00
_cell_angle_beta 90.00
_cell_angle_gamma 90.00
_symmetry_space_group_name_H-M 'I a -3 d'
_symmetry_Int_Tables_number 230
_symmetry_space_group_name_Hall '-I 4bd 2c 3'
loop_
_atom_site_label
_atom_site_type_symbol
_atom_site_fract_x
_atom_site_fract_y
_atom_site_fract_z
Ga1 Ga 0.000 0.250 0.125
Hg1 Hg 0.026 0.082 0.650
Ge1 Ge 0.000 0.000 0.000
Ge2 Ge 0.000 0.250 0.375